Compound: BeAl2F8
Source: Alexandria via LeMat-Bulk
Functional: PBE-GGA
Structure: relaxed

Computed properties:
- DOS(E_F): 0.0000 states/eV per atom
- Volume: 14.14 A^3/atom
- Total moment: 0.0119 μB/atom
- Crystal system: monoclinic

```
data_BeAl2F8
_chemical_formula_sum 'Be1 Al2 F8'
_space_group_name_H-M_alt 'P 1'
_space_group_IT_number 1
_cell_length_a 4.7643
_cell_length_b 5.8420
_cell_length_c 5.8420
_cell_angle_alpha 75.67
_cell_angle_beta 82.84
_cell_angle_gamma 82.84
loop_
_space_group_symop_operation_xyz
'x,y,z'
loop_
_atom_site_label
_atom_site_type_symbol
_atom_site_fract_x
_atom_site_fract_y
_atom_site_fract_z
_atom_site_occupancy
F1 F 0.1498 0.2747 0.9436 1
F2 F 0.6743 0.1310 0.1310 1
F3 F 0.1498 0.9436 0.2747 1
F4 F 0.8502 0.7253 0.0564 1
F5 F 0.2833 0.3825 0.3825 1
F6 F 0.3257 0.8690 0.8690 1
F7 F 0.8502 0.0564 0.7253 1
F8 F 0.7167 0.6175 0.6175 1
Be1 Be 0.0000 0.0000 0.0000 1
Al1 Al 0.6813 0.7976 0.7976 1
Al2 Al 0.3187 0.2024 0.2024 1
```

Compound: BeAlF
Source: Alexandria via LeMat-Bulk
Functional: PBE-GGA
Structure: relaxed

Computed properties:
- DOS(E_F): 0.3195 states/eV per atom
- Volume: 14.03 A^3/atom
- Total moment: 0.0000 μB/atom
- Crystal system: orthorhombic

```
data_BeAlF
_chemical_formula_sum 'Be2 Al2 F2'
_space_group_name_H-M_alt 'P 1'
_space_group_IT_number 1
_cell_length_a 2.6544
_cell_length_b 2.6044
_cell_length_c 14.1494
_cell_angle_alpha 90.00
_cell_angle_beta 90.00
_cell_angle_gamma 120.64
loop_
_space_group_symop_operation_xyz
'x,y,z'
loop_
_atom_site_label
_atom_site_type_symbol
_atom_site_fract_x
_atom_site_fract_y
_atom_site_fract_z
_atom_site_occupancy
Al1 Al 0.2239 0.4478 0.1482 1
Al2 Al 0.2239 0.4478 0.8518 1
Be1 Be 0.5511 0.1023 0.0000 1
Be2 Be 0.3500 0.7000 0.5000 1
F1 F 0.6588 0.3176 0.5746 1
F2 F 0.6588 0.3176 0.4254 1
```

Compound: KBeAl2F
Source: Alexandria via LeMat-Bulk
Functional: PBE-GGA
Structure: relaxed

Computed properties:
- DOS(E_F): 0.8392 states/eV per atom
- Volume: 31.39 A^3/atom
- Total moment: 0.0000 μB/atom
- Crystal system: tetragonal

```
data_KBeAl2F
_chemical_formula_sum 'K1 Be1 Al2 F1'
_space_group_name_H-M_alt 'P 1'
_space_group_IT_number 1
_cell_length_a 5.9541
_cell_length_b 4.4267
_cell_length_c 5.9541
_cell_angle_alpha 90.00
_cell_angle_beta 90.00
_cell_angle_gamma 90.00
loop_
_space_group_symop_operation_xyz
'x,y,z'
loop_
_atom_site_label
_atom_site_type_symbol
_atom_site_fract_x
_atom_site_fract_y
_atom_site_fract_z
_atom_site_occupancy
F1 F 0.0000 0.5000 0.0000 1
K1 K 0.0000 0.0000 0.0000 1
Be1 Be 0.5000 0.5000 0.5000 1
Al1 Al 0.5000 0.0000 0.0000 1
Al2 Al 0.0000 0.0000 0.5000 1
```

Number 1: formation energy (no corrections) -3.150 eV per atom. Number 2: formation energy (no corrections) -1.072 eV per atom. Number 3: formation energy (no corrections) 0.766 eV per atom.